[1]
# Ho6Tl2Pd (PBE, optimized geometry)
data_Ho6Tl2Pd
_symmetry_space_group_name_H-M 'I m m m'
_symmetry_Int_Tables_number 71
_symmetry_space_group_name_Hall '-I 2 2'
_cell_length_a 5.073
_cell_length_b 7.213
_cell_length_c 15.022
_cell_angle_alpha 90.00
_cell_angle_beta 90.00
_cell_angle_gamma 90.00
loop_
_atom_site_label
_atom_site_fract_x
_atom_site_fract_y
_atom_site_fract_z
Ho1 0.000 0.231 0.000
Ho2 0.000 0.259 0.343
Tl1 0.000 0.500 0.168
Pd1 0.000 0.500 0.500
# Energy of formation from the pure elements = -187 meV/atom
# Calculated total energy = -78.1 eV per cell
# Relative energy among the computed polymorphs = 4.330 kcal/mol of atoms

[2]
# BeCdCl2 (PBE, optimized geometry)
data_BeCdCl2
_symmetry_space_group_name_H-M 'I -4 m 2'
_symmetry_Int_Tables_number 119
_symmetry_space_group_name_Hall 'I -4 -2'
_cell_length_a 3.808
_cell_length_b 3.808
_cell_length_c 13.230
_cell_angle_alpha 90.00
_cell_angle_beta 90.00
_cell_angle_gamma 90.00
loop_
_atom_site_label
_atom_site_fract_x
_atom_site_fract_y
_atom_site_fract_z
Be1 0.000 0.000 0.000
Cd1 0.000 0.500 0.750
Cl1 0.000 0.000 0.500
Cl2 0.000 0.500 0.250
# Energy relative to the elements, uncorrected = 0.1587 eV/atom
# Calculated total energy = -15.4 eV per cell
# Relative energy among the computed polymorphs = 24.550 kcal/mol of atoms

[3]
# Cs2NbTlF8 (PBE, optimized geometry)
data_Cs2NbTlF8
_symmetry_space_group_name_H-M 'P -3 m 1'
_symmetry_Int_Tables_number 164
_symmetry_space_group_name_Hall '-P 3 2"'
_cell_length_a 5.3606
_cell_length_b 5.3606
_cell_length_c 10.4838
_cell_angle_alpha 90.00
_cell_angle_beta 90.00
_cell_angle_gamma 120.00
loop_
_atom_site_label
_atom_site_fract_x
_atom_site_fract_y
_atom_site_fract_z
Cs1 0.3333 0.6667 0.2132
Nb1 0.0000 0.0000 0.5000
Tl1 0.0000 0.0000 0.0000
F1 0.1656 0.3312 0.6119
F2 0.3333 0.6667 0.9350
# Energy relative to the elements, uncorrected = -2.6756 eV/atom
# Calculated total energy = -61.2 eV per cell

[4]
# K4Nd3BiTe8 (PBE, optimized geometry)
data_K4Nd3BiTe8
_symmetry_space_group_name_H-M 'R -3 m'
_symmetry_Int_Tables_number 166
_symmetry_space_group_name_Hall '-R 3 2"'
_cell_length_a 9.2420
_cell_length_b 9.2420
_cell_length_c 24.7787
_cell_angle_alpha 90.00
_cell_angle_beta 90.00
_cell_angle_gamma 120.00
loop_
_atom_site_label
_atom_site_fract_x
_atom_site_fract_y
_atom_site_fract_z
K1 0.0000 0.0000 0.0000
K2 0.0000 0.5000 0.0000
Nd1 0.0000 0.5000 0.5000
Bi1 0.0000 0.0000 0.5000
Te1 0.0000 0.0000 0.2382
Te2 0.0020 0.5010 0.2378
# Energy relative to the elements, uncorrected = -1.2140 eV/atom
# Calculated total energy = -201.4 eV per cell

[5]
# Sc3CdC (PBE, optimized geometry)
data_Sc3CdC
_symmetry_space_group_name_H-M 'R -3 c'
_symmetry_Int_Tables_number 167
_symmetry_space_group_name_Hall '-R 3 2"c'
_cell_length_a 8.1510
_cell_length_b 8.1510
_cell_length_c 10.3275
_cell_angle_alpha 90.00
_cell_angle_beta 90.00
_cell_angle_gamma 120.00
loop_
_atom_site_label
_atom_site_fract_x
_atom_site_fract_y
_atom_site_fract_z
Sc1 0.0000 0.2610 0.2500
Cd1 0.0000 0.0000 0.0000
C1 0.0000 0.0000 0.2500
# Energy of formation from the pure elements = 119 meV/atom
# Calculated total energy = -171.2 eV per cell
# Relative energy among the computed polymorphs = 13.452 kcal/mol of atoms

[6]
# MgZrCdSn (PBE, optimized geometry)
data_MgZrCdSn
_symmetry_space_group_name_H-M 'P m m m'
_symmetry_Int_Tables_number 47
_cell_length_a 4.296
_cell_length_b 4.362
_cell_length_c 4.591
_cell_angle_alpha 90.00
_cell_angle_beta 90.00
_cell_angle_gamma 90.00
loop_
_symmetry_equiv_pos_as_xyz
'x,y,z'
'-x,-y,-z'
'-x,-y,z'
'x,y,-z'
'x,-y,-z'
'-x,y,z'
'-x,y,-z'
'x,-y,z'
loop_
_atom_site_label
_atom_site_fract_x
_atom_site_fract_y
_atom_site_fract_z
Mg1 0.000 0.000 0.000
Zr1 0.000 0.500 0.500
Cd1 0.500 0.500 0.000
Sn1 0.500 0.000 0.500
# Energy of formation from the pure elements = -285 meV/atom
# Calculated total energy = -16.2 eV per cell

[7]
# Tb3Ho12Th (PBE, optimized geometry)
data_Tb3Ho12Th
_symmetry_space_group_name_H-M 'P 4/m m m'
_symmetry_Int_Tables_number 123
_symmetry_space_group_name_Hall '-P 4 2'
_cell_length_a 5.003
_cell_length_b 5.003
_cell_length_c 19.970
_cell_angle_alpha 90.00
_cell_angle_beta 90.00
_cell_angle_gamma 90.00
loop_
_atom_site_label
_atom_site_fract_x
_atom_site_fract_y
_atom_site_fract_z
Tb1 0.000 0.000 0.000
Tb2 0.000 0.000 0.250
Ho1 0.000 0.500 0.125
Ho2 0.000 0.500 0.376
Ho3 0.500 0.500 0.000
Ho4 0.500 0.500 0.249
Ho5 0.500 0.500 0.500
Th1 0.000 0.000 0.500
# Energy of formation from the pure elements = 24 meV/atom
# Calculated total energy = -75.9 eV per cell

[8]
# BePb3F (PBE, optimized geometry)
data_BePb3F
_symmetry_space_group_name_H-M 'P m -3 m'
_symmetry_Int_Tables_number 221
_symmetry_space_group_name_Hall '-P 4 2 3'
_cell_length_a 5.044
_cell_length_b 5.044
_cell_length_c 5.044
_cell_angle_alpha 90.00
_cell_angle_beta 90.00
_cell_angle_gamma 90.00
loop_
_atom_site_label
_atom_site_fract_x
_atom_site_fract_y
_atom_site_fract_z
Be1 0.000 0.000 0.000
Pb1 0.000 0.000 0.500
F1 0.500 0.500 0.500
# Energy relative to the elements, uncorrected = -0.0438 eV/atom
# Calculated total energy = -16.9 eV per cell
# Relative energy among the computed polymorphs = 0.000 kcal/mol of atoms

[9]
# AcPm5Hg4 (PBE, optimized geometry)
data_AcPm5Hg4
_symmetry_space_group_name_H-M 'P 4/m m m'
_symmetry_Int_Tables_number 123
_symmetry_space_group_name_Hall '-P 4 2'
_cell_length_a 3.827
_cell_length_b 3.827
_cell_length_c 20.427
_cell_angle_alpha 90.00
_cell_angle_beta 90.00
_cell_angle_gamma 90.00
loop_
_atom_site_label
_atom_site_fract_x
_atom_site_fract_y
_atom_site_fract_z
Ac1 0.000 0.000 0.000
Pm1 0.500 0.500 0.130
Pm2 0.500 0.500 0.316
Pm3 0.500 0.500 0.500
Hg1 0.000 0.000 0.221
Hg2 0.000 0.000 0.407
# Energy of formation from the pure elements = -374 meV/atom
# Calculated total energy = -32.8 eV per cell

[10]
# SrMn2Tl (PBE, optimized geometry)
data_SrMn2Tl
_symmetry_space_group_name_H-M 'F m -3 m'
_symmetry_Int_Tables_number 225
_symmetry_space_group_name_Hall '-F 4 2 3'
_cell_length_a 7.203
_cell_length_b 7.203
_cell_length_c 7.203
_cell_angle_alpha 90.00
_cell_angle_beta 90.00
_cell_angle_gamma 90.00
loop_
_atom_site_label
_atom_site_fract_x
_atom_site_fract_y
_atom_site_fract_z
Sr1 0.000 0.000 0.000
Mn1 0.250 0.250 0.250
Tl1 0.000 0.000 0.500
# Energy of formation from the pure elements = 546 meV/atom
# Calculated total energy = -80.8 eV per cell
# Relative energy among the computed polymorphs = 3.652 kcal/mol of atoms

[11]
# Tb5PrTm3 (PBE, optimized geometry)
data_Tb5PrTm3
_symmetry_space_group_name_H-M 'C 1 2/m 1'
_symmetry_Int_Tables_number 12
_cell_length_a 16.899
_cell_length_b 7.982
_cell_length_c 12.178
_cell_angle_alpha 90.00
_cell_angle_beta 130.66
_cell_angle_gamma 90.00
loop_
_symmetry_equiv_pos_as_xyz
'x,y,z'
'-x,-y,-z'
'-x,y,-z'
'x,-y,z'
'x+1/2,y+1/2,z'
'-x+1/2,-y+1/2,-z'
'-x+1/2,y+1/2,-z'
'x+1/2,-y+1/2,z'
loop_
_atom_site_label
_atom_site_fract_x
_atom_site_fract_y
_atom_site_fract_z
Tb1 0.000 0.179 0.000
Tb2 0.064 0.292 0.779
Tb3 0.125 0.500 0.568
Tb4 0.201 0.000 0.071
Pr1 0.236 0.500 0.134
Tm1 0.000 0.000 0.500
Tm2 0.000 0.500 0.000
Tm3 0.122 0.000 0.320
Tm4 0.167 0.500 0.338
# Energy of formation from the pure elements = 426 meV/atom
# Calculated total energy = -150.1 eV per cell
# Relative energy among the computed polymorphs = 5.433 kcal/mol of atoms

[12]
# Sc2AgAs2 (PBE, optimized geometry)
data_Sc2AgAs2
_symmetry_space_group_name_H-M 'P 4/m b m'
_symmetry_Int_Tables_number 127
_symmetry_space_group_name_Hall '-P 4 2ab'
_cell_length_a 7.342
_cell_length_b 7.342
_cell_length_c 3.627
_cell_angle_alpha 90.00
_cell_angle_beta 90.00
_cell_angle_gamma 90.00
loop_
_atom_site_label
_atom_site_fract_x
_atom_site_fract_y
_atom_site_fract_z
Sc1 0.154 0.346 0.000
Ag1 0.000 0.000 0.500
As1 0.154 0.654 0.500
# Energy of formation from the pure elements = -832 meV/atom
# Calculated total energy = -57.9 eV per cell
# Relative energy among the computed polymorphs = 0.000 kcal/mol of atoms